! Tb2Pm2HoMg5, optimized geometry, DFT PBE; values from VASP
! total moment = 0.0 μB/f.u.
! total energy = -3.09 eV per atom
! density = 5.185 g/cm3
! SG = No. 127
&SYSTEM
  ibrav = 0, nat = 20, ntyp = 4
/
ATOMIC_SPECIES
Tb 158.93 Tb.upf
Pm 145.00 Pm.upf
Ho 164.93 Ho.upf
Mg 24.30 Mg.upf
ATOMIC_POSITIONS angstrom
Tb 1.282 4.024 0.000
Tb 4.024 9.330 0.000
Tb 6.589 1.282 0.000
Tb 9.330 6.589 0.000
Pm 1.876 7.182 0.000
Pm 3.430 1.876 0.000
Pm 7.182 8.737 0.000
Pm 8.737 3.430 0.000
Ho 0.000 0.000 0.000
Ho 5.306 5.306 0.000
Mg 0.000 5.306 2.543
Mg 0.743 2.087 2.543
Mg 2.087 9.869 2.543
Mg 3.219 4.563 2.543
Mg 4.563 7.394 2.543
Mg 5.306 0.000 2.543
Mg 6.050 3.219 2.543
Mg 7.394 6.050 2.543
Mg 8.525 0.743 2.543
Mg 9.869 8.525 2.543
CELL_PARAMETERS angstrom
10.613 0.000 0.000
0.000 10.613 0.000
0.000 0.000 5.085

=====

! Ba2TiNi, optimized geometry, DFT PBE; values from VASP
! offset from the most stable computed form = 302.9 meV/atom
! total moment = 3.8 μB/f.u.
! total energy = -3.63 eV per atom
! density = 4.970 g/cm3
! SG = No. 225
&SYSTEM
  ibrav = 0, nat = 4, ntyp = 3
/
ATOMIC_SPECIES
Ba 137.33 Ba.upf
Ti 47.87 Ti.upf
Ni 58.69 Ni.upf
ATOMIC_POSITIONS angstrom
Ba 1.997 1.997 1.997
Ba 5.990 5.990 5.990
Ti 0.000 0.000 0.000
Ni 3.993 3.993 3.993
CELL_PARAMETERS angstrom
0.000 3.993 3.993
3.993 0.000 3.993
3.993 3.993 0.000

=====

! YTe2I, optimized geometry, DFT PBE; values from VASP
! offset from the most stable computed form = 464.8 meV/atom
! total moment = 0.0 μB/f.u.
! total energy = -3.95 eV per atom
! density = 6.470 g/cm3
! SG = No. 225
! formation energy (no corrections) = -0.371 eV/atom
&SYSTEM
  ibrav = 0, nat = 4, ntyp = 3
/
ATOMIC_SPECIES
Y 88.91 Y.upf
Te 127.60 Te.upf
I 126.90 I.upf
ATOMIC_POSITIONS angstrom
Y 0.000 0.000 0.000
Te 1.962 1.962 1.962
Te 5.887 5.887 5.887
I 3.924 3.924 3.924
CELL_PARAMETERS angstrom
0.000 3.924 3.924
3.924 0.000 3.924
3.924 3.924 0.000

=====

! Ac4RuI, optimized geometry, DFT PBE; values from VASP
! total moment = 0.0 μB/f.u.
! total energy = -4.91 eV per atom
! density = 7.407 g/cm3
! SG = No. 15
! formation energy (no corrections) = -0.371 eV/atom
&SYSTEM
  ibrav = 0, nat = 12, ntyp = 3
/
ATOMIC_SPECIES
Ac 227.00 Ac.upf
Ru 101.07 Ru.upf
I 126.90 I.upf
ATOMIC_POSITIONS angstrom
Ac 1.879 5.001 1.840
Ac 1.126 1.029 1.282
Ac -0.758 -1.029 4.489
Ac 5.900 5.001 1.367
Ac -0.005 -5.001 5.046
Ac 6.653 1.029 1.925
Ac 4.769 -1.029 5.131
Ac 4.016 -5.001 4.574
Ru 3.890 6.999 1.603
Ru 2.005 -6.999 4.810
I 2.005 1.175 4.810
I 3.890 -1.175 1.603
CELL_PARAMETERS angstrom
4.832 -8.218 0.000
4.832 8.218 0.000
-3.769 0.000 6.413

=====

! GaHRh3, optimized geometry, DFT PBE; values from VASP
! offset from the most stable computed form = 103.0 meV/atom
! total moment = 0.0 μB/f.u.
! total energy = -5.88 eV per atom
! density = 10.232 g/cm3
! SG = No. 15
&SYSTEM
  ibrav = 0, nat = 20, ntyp = 3
/
ATOMIC_SPECIES
Ga 69.72 Ga.upf
H 1.01 H.upf
Rh 102.91 Rh.upf
ATOMIC_POSITIONS angstrom
Ga 4.250 4.225 4.067
Ga 4.979 1.068 1.356
Ga 4.250 -1.068 4.067
Ga 4.979 -4.225 1.356
H 2.781 1.344 3.646
H 5.719 1.344 4.487
H 3.510 -1.344 0.935
H 6.447 -1.344 1.776
Rh 3.170 2.724 2.312
Rh 2.434 2.706 5.031
Rh 2.099 0.012 4.935
Rh 2.827 -0.012 2.224
Rh 6.787 2.724 0.399
Rh 6.065 2.706 3.102
Rh 3.163 -2.706 2.320
Rh 2.441 -2.724 5.023
Rh 6.401 0.012 3.198
Rh 7.130 -0.012 0.487
Rh 6.794 -2.706 0.391
Rh 6.058 -2.724 3.111
CELL_PARAMETERS angstrom
5.343 -4.251 0.000
5.343 4.251 0.000
-1.458 0.000 5.422

=====

! Pr6NdHo3Tm2, optimized geometry, DFT PBE; values from VASP
! total moment = 0.0 μB/f.u.
! total energy = -4.66 eV per atom
! density = 7.513 g/cm3
! SG = No. 12
&SYSTEM
  ibrav = 0, nat = 12, ntyp = 4
/
ATOMIC_SPECIES
Pr 140.91 Pr.upf
Nd 144.24 Nd.upf
Ho 164.93 Ho.upf
Tm 168.93 Tm.upf
ATOMIC_POSITIONS angstrom
Pr 1.046 1.824 2.916
Pr 0.002 0.000 8.791
Pr 1.046 -1.824 2.916
Pr 3.161 1.824 8.793
Pr 4.205 0.000 2.918
Pr 3.161 -1.824 8.793
Nd 2.104 0.000 5.854
Ho 0.000 0.000 0.000
Ho 3.151 1.821 0.000
Ho 3.151 -1.821 0.000
Tm 2.104 3.640 5.854
Tm 2.104 -3.640 5.854
CELL_PARAMETERS angstrom
3.151 -5.458 0.000
3.151 5.458 0.000
-2.096 0.000 11.709

=====

! Sm2H8Rh3, optimized geometry, DFT PBE; values from VASP
! total moment = 0.0 μB/f.u.
! total energy = -4.90 eV per atom
! density = 7.852 g/cm3
! SG = No. 12
&SYSTEM
  ibrav = 0, nat = 13, ntyp = 3
/
ATOMIC_SPECIES
Sm 150.36 Sm.upf
H 1.01 H.upf
Rh 102.91 Rh.upf
ATOMIC_POSITIONS angstrom
Sm 1.543 0.000 0.906
Sm 6.380 0.000 3.777
H 0.105 0.000 2.777
H 3.659 1.138 0.592
H 2.725 0.000 2.931
H 4.264 1.138 4.091
H 3.659 -1.138 0.592
H 5.198 0.000 1.751
H 4.264 -1.138 4.091
H 7.817 0.000 1.905
Rh 3.961 1.447 2.341
Rh 4.886 0.000 0.000
Rh 3.961 -1.447 2.341
CELL_PARAMETERS angstrom
4.886 -2.854 0.000
4.886 2.854 0.000
-1.850 0.000 4.682

=====

! PaRuPtAu, optimized geometry, DFT PBE; values from VASP
! total moment = 0.0 μB/f.u.
! total energy = -7.71 eV per atom
! density = 16.644 g/cm3
! SG = No. 47
&SYSTEM
  ibrav = 0, nat = 4, ntyp = 4
/
ATOMIC_SPECIES
Pa 231.04 Pa.upf
Ru 101.07 Ru.upf
Pt 195.08 Pt.upf
Au 196.97 Au.upf
ATOMIC_POSITIONS angstrom
Pa 0.000 0.000 0.000
Ru 1.949 2.053 0.000
Pt 1.949 0.000 2.257
Au 0.000 2.053 2.257
CELL_PARAMETERS angstrom
3.897 0.000 0.000
0.000 4.107 0.000
0.000 0.000 4.514

=====

! Hg3SbI, optimized geometry, DFT PBE; values from VASP
! offset from the most stable computed form = 0.0 meV/atom
! total moment = 0.0 μB/f.u.
! total energy = -1.39 eV per atom
! density = 7.855 g/cm3
! SG = No. 167
! formation energy (no corrections) = -0.071 eV/atom
&SYSTEM
  ibrav = 0, nat = 10, ntyp = 3
/
ATOMIC_SPECIES
Hg 200.59 Hg.upf
Sb 121.76 Sb.upf
I 126.90 I.upf
ATOMIC_POSITIONS angstrom
Hg -2.318 0.575 8.214
Hg -1.657 -1.720 11.499
Hg 0.661 -2.295 8.214
Hg -0.661 2.295 11.499
Hg 1.657 1.720 8.214
Hg 2.318 -0.575 11.499
Sb 0.000 0.000 0.000
Sb 0.000 0.000 9.856
I 0.000 0.000 4.928
I 0.000 0.000 14.785
CELL_PARAMETERS angstrom
3.974 2.295 6.571
-3.974 2.295 6.571
0.000 -4.589 6.571

=====

! Pm3Nd2Sm6Tl, optimized geometry, DFT PBE; values from VASP
! total moment = 0.0 μB/f.u.
! total energy = -4.57 eV per atom
! density = 7.661 g/cm3
! SG = No. 12
&SYSTEM
  ibrav = 0, nat = 12, ntyp = 4
/
ATOMIC_SPECIES
Pm 145.00 Pm.upf
Nd 144.24 Nd.upf
Sm 150.36 Sm.upf
Tl 204.38 Tl.upf
ATOMIC_POSITIONS angstrom
Pm 0.000 0.000 0.000
Pm 3.115 1.818 0.000
Pm 3.115 -1.818 0.000
Nd 2.062 3.609 5.887
Nd 2.062 -3.609 5.887
Sm 1.057 1.763 2.973
Sm 0.020 0.000 8.820
Sm 1.057 -1.763 2.973
Sm 3.068 1.763 8.802
Sm 4.104 0.000 2.954
Sm 3.068 -1.763 8.802
Tl 2.062 0.000 5.887
CELL_PARAMETERS angstrom
3.115 -5.407 0.000
3.115 5.407 0.000
-2.106 0.000 11.774

=====

! Rb2Sn2As2Au, optimized geometry, DFT PBE; values from VASP
! total moment = 0.0 μB/f.u.
! total energy = -3.53 eV per atom
! density = 5.119 g/cm3
! SG = No. 2
&SYSTEM
  ibrav = 0, nat = 7, ntyp = 4
/
ATOMIC_SPECIES
Rb 85.47 Rb.upf
Sn 118.71 Sn.upf
As 74.92 As.upf
Au 196.97 Au.upf
ATOMIC_POSITIONS angstrom
Rb -0.002 0.860 2.741
Rb 2.061 4.472 5.522
Sn -0.005 0.682 7.217
Sn 2.064 4.649 1.046
As -0.008 4.369 2.655
As 2.068 0.962 5.608
Au 2.072 0.000 0.000
CELL_PARAMETERS angstrom
4.145 0.000 0.000
-0.018 7.153 0.000
-2.068 -1.821 8.263

=====

! FeCoNi3, optimized geometry, DFT PBE; values from VASP
! offset from the most stable computed form = 1188.0 meV/atom
! total moment = 7.2 μB/f.u.
! total energy = -5.45 eV per atom
! density = 6.416 g/cm3
! SG = No. 221
&SYSTEM
  ibrav = 0, nat = 5, ntyp = 3
/
ATOMIC_SPECIES
Fe 55.84 Fe.upf
Co 58.93 Co.upf
Ni 58.69 Ni.upf
ATOMIC_POSITIONS angstrom
Fe 0.000 0.000 0.000
Co 2.111 2.111 2.111
Ni 0.000 2.111 2.111
Ni 2.111 0.000 2.111
Ni 2.111 2.111 0.000
CELL_PARAMETERS angstrom
4.222 0.000 0.000
0.000 4.222 0.000
0.000 0.000 4.222